The following is a PBE calculation of La2CdPbO6 after structural relaxation, from Alexandria.

Values from the calculation:
Space-group type: P2_1/c, No. 14
ρ (g cm⁻³): 7.515
Formation energy from raw total energies (kJ per mole of atoms): -213
Crystal system: monoclinic

Cell: 5.8337 6.1368 8.5605 Å, 90.00 89.20 90.00°
Last column: nearest neighbours and their distance in Å.
Atoms (fractional coordinates):
O (0.8147, 0.7965, 0.9218)  1 Pb 2.22, 1 Cd 2.31, 1 La 2.39
O (0.3035, 0.6866, 0.0643)  1 Pb 2.19, 1 Cd 2.30, 1 La 2.41
O (0.8035, 0.8134, 0.5643)  1 Pb 2.19, 1 Cd 2.30, 1 La 2.41
O (0.3147, 0.7035, 0.4218)  1 Pb 2.22, 1 Cd 2.31, 1 La 2.39
O (0.6357, 0.0653, 0.2598)  1 Pb 2.23, 2 La 2.37-2.48, 1 Cd 2.40
O (0.3643, 0.9347, 0.7402)  1 Pb 2.23, 2 La 2.37-2.48, 1 Cd 2.40
O (0.8643, 0.5653, 0.2402)  1 Pb 2.23, 2 La 2.37-2.48, 1 Cd 2.40
O (0.1357, 0.4347, 0.7598)  1 Pb 2.23, 2 La 2.37-2.48, 1 Cd 2.40
O (0.1853, 0.2035, 0.0782)  1 Pb 2.22, 1 Cd 2.31, 1 La 2.39
O (0.6853, 0.2965, 0.5782)  1 Pb 2.22, 1 Cd 2.31, 1 La 2.39
O (0.6965, 0.3134, 0.9357)  1 Pb 2.19, 1 Cd 2.30, 1 La 2.41
O (0.1965, 0.1866, 0.4357)  1 Pb 2.19, 1 Cd 2.30, 1 La 2.41
La (0.0208, 0.9401, 0.2531)  4 O 2.37-2.48
La (0.4792, 0.4401, 0.2469)  4 O 2.37-2.48
La (0.5208, 0.5599, 0.7531)  4 O 2.37-2.48
La (0.9792, 0.0599, 0.7469)  4 O 2.37-2.48
Cd (0.5000, 0.0000, 0.0000)  6 O 2.30-2.40
Cd (0.0000, 0.5000, 0.5000)  6 O 2.30-2.40
Pb (0.0000, 0.5000, 0.0000)  6 O 2.19-2.23
Pb (0.5000, 0.0000, 0.5000)  6 O 2.19-2.23



The following is a PBE calculation of LaCdPd2O after structural relaxation, from Alexandria.

Values from the calculation:
Space-group type: P4/mmm, No. 123
ρ (g cm⁻³): 4.417
Formation energy from raw total energies (kJ per mole of atoms): 94
Crystal system: tetragonal

Cell: 5.2076 6.6564 5.2076 Å, 90.00 90.00 90.00°
Last column: nearest neighbours and their distance in Å.
Atoms (fractional coordinates):
La (0.0000, 0.0000, 0.0000)  4 Pd 2.60
Cd (0.0000, 0.5000, 0.0000)  2 La 3.33, 4 O 3.68
O (0.5000, 0.5000, 0.5000)  4 Cd 3.68
Pd (0.5000, 0.0000, 0.0000)  2 La 2.60
Pd (0.0000, 0.0000, 0.5000)  2 La 2.60